The following is a PBE calculation of a relaxed structure of Sm7Ho2Sc, from Alexandria.

Cell lengths 5.2353, 9.6129, 9.6130 Å; angles 125.55, 90.00, 90.00 degrees
Last column: nearest neighbours and their distance in Å.
Fractional positions:
Sm  0.5000  0.7141  0.9278  4 Sm 3.15-3.42, 1 Ho 3.27
Sc  0.0000  0.0000  0.0000  10 Sm 3.36-3.56
Ho  0.5000  0.2965  0.7035  5 Sm 3.13-3.48
Sm  0.0000  0.1963  0.8037  2 Ho 3.13, 1 Sc 3.36, 4 Sm 3.42
Sm  0.5000  0.9278  0.7141  4 Sm 3.15-3.42, 1 Ho 3.27
Sm  0.5000  0.2859  0.0722  4 Sm 3.15-3.42, 1 Ho 3.27
Ho  0.5000  0.7035  0.2965  5 Sm 3.13-3.48
Sm  0.0000  0.8037  0.1963  2 Ho 3.13, 1 Sc 3.36, 4 Sm 3.42
Sm  0.5000  0.5000  0.5000  4 Sm 3.36, 2 Ho 3.48
Sm  0.5000  0.0722  0.2859  4 Sm 3.15-3.42, 1 Ho 3.27

Computed properties:
formation energy from the elements: 0.673 eV/atom
symmetry: Cmmm, No. 65
Fermi-level density of states: 13.866 states/eV per cell